SrAcZnCd (PBE, relaxed); total magnetization = 0.01 μB per cell; offset from the most stable computed form = 0.01 eV per formula unit
1.0
3.9846 0.0000 0.0000
0.0000 3.9846 0.0000
0.0000 0.0000 8.0356
Sr Ac Zn Cd
1 1 1 1
Cartesian
0.0000 0.0000 0.0000 Sr
0.0000 0.0000 4.2020 Ac
1.9923 1.9923 6.0444 Zn
1.9923 1.9923 2.0911 Cd



AcTb2Cd (PBE, relaxed); total magnetization = 0.00 μB per cell; offset from the most stable computed form = 0.43 eV per formula unit
1.0
1.8691 1.0791 11.0444
-1.8691 1.0791 11.0444
0.0000 -2.1583 11.0444
Ac Tb Cd
1 2 1
Cartesian
0.0000 0.0000 0.0000 Ac
0.0000 0.0000 18.9685 Tb
0.0000 0.0000 25.1992 Tb
0.0000 0.0000 5.5082 Cd



AcTb2Cd (PBE, relaxed); total magnetization = 0.00 μB per cell; offset from the most stable computed form = 0.79 eV per formula unit
1.0
0.0000 3.9814 3.9814
3.9814 0.0000 3.9814
3.9814 3.9814 0.0000
Ac Tb Cd
1 2 1
Cartesian
0.0000 0.0000 0.0000 Ac
1.9907 1.9907 1.9907 Tb
5.9721 5.9721 5.9721 Tb
3.9814 3.9814 3.9814 Cd



AcTb3Cd2 (PBE, relaxed); total magnetization = 0.00 μB per cell
1.0
3.7685 0.0000 0.0000
0.0000 3.7685 0.0000
0.0000 0.0000 12.8028
Ac Tb Cd
1 3 2
Cartesian
0.0000 0.0000 0.0000 Ac
1.8843 1.8843 2.6661 Tb
1.8843 1.8843 6.4014 Tb
1.8843 1.8843 10.1367 Tb
0.0000 0.0000 4.5309 Cd
0.0000 0.0000 8.2719 Cd



Ac2TbCd3 (PBE, relaxed); total magnetization = 0.01 μB per cell
1.0
3.9191 0.0000 0.0000
0.0000 3.9191 0.0000
0.0000 0.0000 12.2070
Ac Tb Cd
2 1 3
Cartesian
0.0000 0.0000 2.1786 Ac
0.0000 0.0000 10.0284 Ac
0.0000 0.0000 6.1035 Tb
1.9596 1.9596 0.0000 Cd
1.9596 1.9596 4.4101 Cd
1.9596 1.9596 7.7969 Cd



AcTb2Cd2 (PBE, relaxed); total magnetization = 0.00 μB per cell
1.0
1.9586 -10.5936 0.0000
1.9586 10.5936 0.0000
0.0000 0.0000 3.8152
Ac Tb Cd
1 2 2
Cartesian
0.0000 0.0000 0.0000 Ac
1.9586 6.7255 0.0000 Tb
1.9586 -6.7255 0.0000 Tb
1.9586 2.2366 1.9076 Cd
1.9586 -2.2366 1.9076 Cd



AcTb4Cd5 (PBE, relaxed); total magnetization = 0.60 μB per cell
1.0
3.8028 0.0000 0.0000
0.0000 3.8028 0.0000
0.0000 0.0000 19.2907
Ac Tb Cd
1 4 5
Cartesian
0.0000 0.0000 0.0000 Ac
0.0000 0.0000 4.0941 Tb
0.0000 0.0000 7.8008 Tb
0.0000 0.0000 11.4898 Tb
0.0000 0.0000 15.1966 Tb
1.9014 1.9014 2.3106 Cd
1.9014 1.9014 5.9359 Cd
1.9014 1.9014 9.6453 Cd
1.9014 1.9014 13.3547 Cd
1.9014 1.9014 16.9801 Cd



Ac3Tb2Cd3 (PBE, relaxed); total magnetization = 0.00 μB per cell
1.0
-1.9750 2.8806 11.7185
1.9750 -2.8806 11.7185
1.9750 2.8806 -11.7185
Ac Tb Cd
3 2 3
Cartesian
0.0000 0.0000 0.0000 Ac
1.9750 0.0000 8.7888 Ac
0.0000 2.8806 2.9296 Ac
0.0000 0.0000 5.5111 Tb
0.0000 0.0000 17.9258 Tb
1.9750 0.0000 2.9896 Cd
0.0000 0.0000 11.7185 Cd
0.0000 2.8806 8.7289 Cd



Number 1: VASP energy -2.26 eV/atom. Number 2: VASP energy -3.59 eV/atom. Number 3: VASP energy -3.50 eV/atom. Number 4: VASP energy -3.50 eV/atom. Number 5: VASP energy -2.88 eV/atom. Number 6: VASP energy -3.14 eV/atom. Number 7: VASP energy -3.03 eV/atom. Number 8: VASP energy -3.25 eV/atom.